# 1
First-principles (GGA-PBE) data for a relaxed structure of Er3Tm2Au2, as listed in Alexandria via LeMat-Bulk.

a b c (Å): 3.6641 6.5473 9.0407
angles (deg): 114.50 90.00 106.25
Last column: nearest neighbours and their distance in Å.
Fractional coordinates of all 7 atoms:
Tm: 0.1514 0.3028 0.8126  2 Au 2.99
Er: 0.5000 0.0000 0.0000  4 Au 2.92
Au: 0.8252 0.6505 0.7719  5 Er 2.92-3.02, 2 Tm 2.99
Er: 0.3870 0.7740 0.5571  3 Au 3.01-3.02
Er: 0.6130 0.2260 0.4429  3 Au 3.01-3.02
Tm: 0.8486 0.6972 0.1874  2 Au 2.99
Au: 0.1748 0.3495 0.2281  5 Er 2.92-3.02, 2 Tm 2.99

Total moment, μB per atom: 0.028
Final energy, eV per atom: -4.678
Energy relative to the elements, kJ/mol of formula units: -344
Calculated density, Mg/m³: 10.91
DOS(E_F), states/eV/f.u.: 10.3

=====

# 2
First-principles (GGA-PBE) data for a relaxed structure of ErTmAu6, as listed in Alexandria via LeMat-Bulk.

a b c (Å): 4.4578 5.1099 8.1020
angles (deg): 81.10 74.03 64.14
Last column: nearest neighbours and their distance in Å.
Fractional coordinates of all 8 atoms:
Au: 0.2510 0.3745 0.1235  8 Au 2.99-3.15, 3 Tm 3.00, 1 Er 3.01
Au: 0.5007 0.2485 0.7502  8 Au 2.99-3.01, 2 Tm 3.14, 2 Er 3.15
Tm: 0.0000 0.0000 0.0000  12 Au 3.00-3.14
Er: 0.0000 0.5000 0.5000  12 Au 3.00-3.15
Au: 0.7494 0.1266 0.3745  8 Au 3.00-3.16, 1 Tm 3.00, 3 Er 3.00-3.01
Au: 0.7490 0.6255 0.8765  8 Au 2.99-3.15, 3 Tm 3.00, 1 Er 3.01
Au: 0.4993 0.7515 0.2498  8 Au 2.99-3.01, 2 Tm 3.14, 2 Er 3.15
Au: 0.2506 0.8734 0.6255  8 Au 3.00-3.16, 1 Tm 3.00, 3 Er 3.00-3.01

Total moment, μB per atom: 0.000
Final energy, eV per atom: -4.269
Energy relative to the elements, kJ/mol of formula units: -526
Calculated density, Mg/m³: 15.80
DOS(E_F), states/eV/f.u.: 3.3

=====

# 3
First-principles (GGA-PBE) data for a relaxed structure of ErTmAu, as listed in Alexandria via LeMat-Bulk.

a b c (Å): 4.9535 4.9535 7.9314
angles (deg): 90.03 108.15 120.02
Last column: nearest neighbours and their distance in Å.
Fractional coordinates of all 6 atoms:
Er: 0.7203 0.9934 0.7138  4 Au 2.94-3.06
Au: 0.4552 0.8607 0.3159  4 Er 2.94-2.98, 3 Tm 3.06
Tm: 0.5592 0.4130 0.9722  3 Au 2.98, 3 Er 3.33
Er: 0.0462 0.1563 0.2025  3 Au 2.98, 3 Tm 3.33
Tm: 0.8852 0.5760 0.4613  4 Au 2.95-3.06
Au: 0.1513 0.7092 0.8605  4 Tm 2.95-2.98, 3 Er 3.06

Total moment, μB per atom: 0.000
Final energy, eV per atom: -4.592
Energy relative to the elements, kJ/mol of formula units: -141
Calculated density, Mg/m³: 11.26
DOS(E_F), states/eV/f.u.: 2.8
Excess energy over the best structure of this formula in the dataset, eV/f.u.: 0.51

=====

# 4
First-principles (GGA-PBE) data for a relaxed structure of ErTm3Au, as listed in Alexandria via LeMat-Bulk.

a b c (Å): 7.0154 7.0154 7.7063
angles (deg): 101.11 116.98 106.86
Last column: nearest neighbours and their distance in Å.
Fractional coordinates of all 10 atoms:
Er: 0.3028 0.9194 0.2222  2 Au 2.94-2.95
Au: 0.6638 0.7704 0.4342  5 Tm 2.86-2.99, 2 Er 2.94-2.95
Tm: 0.2680 0.5464 0.8144  1 Au 2.94
Au: 0.3362 0.2296 0.5658  5 Tm 2.86-2.99, 2 Er 2.94-2.95
Tm: 0.2268 0.3912 0.2154  2 Au 2.86-2.99
Tm: 0.1758 0.0114 0.7846  2 Au 2.86-2.99
Tm: 0.8242 0.9886 0.2154  2 Au 2.86-2.99
Er: 0.6972 0.0806 0.7778  2 Au 2.94-2.95
Tm: 0.7732 0.6088 0.7846  2 Au 2.86-2.99
Tm: 0.7320 0.4536 0.1856  1 Au 2.94

Total moment, μB per atom: 0.000
Final energy, eV per atom: -4.484
Energy relative to the elements, kJ/mol of formula units: -112
Calculated density, Mg/m³: 9.67
DOS(E_F), states/eV/f.u.: 7.8

=====

# 5
First-principles (GGA-PBE) data for a relaxed structure of ErTm2Au, as listed in Alexandria via LeMat-Bulk.

a b c (Å): 3.6344 3.6344 10.0593
angles (deg): 79.59 79.59 60.00
Last column: nearest neighbours and their distance in Å.
Fractional coordinates of all 4 atoms:
Er: 0.5000 0.5000 0.5000  6 Tm 3.54, 6 Er 3.63
Tm: 0.2631 0.2631 0.2107  3 Au 2.95
Tm: 0.7369 0.7369 0.7893  3 Au 2.95
Au: 0.0000 0.0000 0.0000  6 Tm 2.95

Total moment, μB per atom: 0.000
Final energy, eV per atom: -4.481
Energy relative to the elements, kJ/mol of formula units: -110
Calculated density, Mg/m³: 10.36
DOS(E_F), states/eV/f.u.: 5.0
Excess energy over the best structure of this formula in the dataset, eV/f.u.: 0.72

=====

# 6
First-principles (GGA-PBE) data for a relaxed structure of ErTm4Au5, as listed in Alexandria via LeMat-Bulk.

a b c (Å): 3.5288 3.5288 18.0292
angles (deg): 90.00 90.00 90.00
Last column: nearest neighbours and their distance in Å.
Fractional coordinates of all 10 atoms:
Au: 0.5000 0.5000 0.1013  4 Tm 3.07, 4 Er 3.09
Tm: 0.0000 0.0000 0.4002  8 Au 3.08
Tm: 0.0000 0.0000 0.2006  8 Au 3.07-3.08
Au: 0.5000 0.5000 0.5000  8 Tm 3.08
Tm: 0.0000 0.0000 0.5998  8 Au 3.08
Au: 0.5000 0.5000 0.6996  8 Tm 3.08
Er: 0.0000 0.0000 0.0000  8 Au 3.09
Tm: 0.0000 0.0000 0.7994  8 Au 3.07-3.08
Au: 0.5000 0.5000 0.3004  8 Tm 3.08
Au: 0.5000 0.5000 0.8987  4 Tm 3.07, 4 Er 3.09

Total moment, μB per atom: 0.000
Final energy, eV per atom: -4.775
Energy relative to the elements, kJ/mol of formula units: -860
Calculated density, Mg/m³: 13.52
DOS(E_F), states/eV/f.u.: 4.2

=====

# 7
First-principles (GGA-PBE) data for a relaxed structure of ErTmZnAu, as listed in Alexandria via LeMat-Bulk.

a b c (Å): 5.0178 5.0178 5.0178
angles (deg): 60.00 60.00 60.00
Last column: nearest neighbours and their distance in Å.
Fractional coordinates of all 4 atoms:
Er: 0.7500 0.7500 0.7500  4 Zn 3.07, 4 Au 3.07
Tm: 0.2500 0.2500 0.2500  4 Zn 3.07, 4 Au 3.07
Zn: 0.5000 0.5000 0.5000  4 Er 3.07, 4 Tm 3.07
Au: 0.0000 0.0000 0.0000  4 Er 3.07, 4 Tm 3.07

Total moment, μB per atom: 0.000
Final energy, eV per atom: -4.012
Energy relative to the elements, kJ/mol of formula units: -238
Calculated density, Mg/m³: 11.13
DOS(E_F), states/eV/f.u.: 4.3

=====

# 8
First-principles (GGA-PBE) data for a relaxed structure of Y2ErAu2, as listed in Alexandria via LeMat-Bulk.

a b c (Å): 3.8333 8.1311 8.1311
angles (deg): 90.00 90.00 90.00
Last column: nearest neighbours and their distance in Å.
Fractional coordinates of all 10 atoms:
Y: 0.5000 0.3374 0.1626  6 Au 3.02-3.09
Y: 0.5000 0.8374 0.3374  6 Au 3.02-3.09
Au: 0.0000 0.6342 0.1342  6 Y 3.02-3.09, 1 Au 3.09, 2 Er 3.17
Au: 0.0000 0.3658 0.8658  6 Y 3.02-3.09, 1 Au 3.09, 2 Er 3.17
Er: 0.0000 0.5000 0.5000  4 Au 3.17
Er: 0.0000 0.0000 0.0000  4 Au 3.17
Au: 0.0000 0.1342 0.3658  6 Y 3.02-3.09, 1 Au 3.09, 2 Er 3.17
Y: 0.5000 0.6626 0.8374  6 Au 3.02-3.09
Y: 0.5000 0.1626 0.6626  6 Au 3.02-3.09
Au: 0.0000 0.8658 0.6342  6 Y 3.02-3.09, 1 Au 3.09, 2 Er 3.17

Total moment, μB per atom: 0.000
Final energy, eV per atom: -5.517
Energy relative to the elements, kJ/mol of formula units: -341
Calculated density, Mg/m³: 9.68
DOS(E_F), states/eV/f.u.: 7.5

=====

# 9
First-principles (GGA-PBE) data for a relaxed structure of YEr5Au6, as listed in Alexandria via LeMat-Bulk.

a b c (Å): 5.0484 8.7626 8.7626
angles (deg): 120.09 106.68 106.68
Last column: nearest neighbours and their distance in Å.
Fractional coordinates of all 12 atoms:
Er: 0.0000 0.3327 0.6673  8 Au 3.08-3.09
Y: 0.0000 0.0000 0.0000  8 Au 3.12-3.13
Au: 0.2530 0.0846 0.4214  7 Er 3.08-3.11, 1 Y 3.13
Er: 0.5000 0.1658 0.8342  8 Au 3.08-3.11
Er: 0.5000 0.5000 0.5000  8 Au 3.07-3.11
Er: 0.5000 0.8342 0.1658  8 Au 3.08-3.11
Au: 0.2440 0.7440 0.7440  6 Er 3.07-3.11, 2 Y 3.12
Au: 0.7470 0.9154 0.5786  7 Er 3.08-3.11, 1 Y 3.13
Er: 0.0000 0.6673 0.3327  8 Au 3.08-3.09
Au: 0.2530 0.4214 0.0846  7 Er 3.08-3.11, 1 Y 3.13
Au: 0.7470 0.5786 0.9154  7 Er 3.08-3.11, 1 Y 3.13
Au: 0.7560 0.2560 0.2560  6 Er 3.07-3.11, 2 Y 3.12

Total moment, μB per atom: 0.000
Final energy, eV per atom: -4.958
Energy relative to the elements, kJ/mol of formula units: -1018
Calculated density, Mg/m³: 12.75
DOS(E_F), states/eV/f.u.: 5.5

=====

# 10
First-principles (GGA-PBE) data for a relaxed structure of YEr2Au6, as listed in Alexandria via LeMat-Bulk.

a b c (Å): 5.2750 5.2320 8.4456
angles (deg): 71.96 80.98 59.60
Last column: nearest neighbours and their distance in Å.
Fractional coordinates of all 9 atoms:
Au: 0.8317 0.4992 0.1660  5 Au 3.00-3.09, 4 Er 3.01-3.09, 1 Y 3.07
Au: 0.1683 0.5008 0.8340  5 Au 3.00-3.09, 4 Er 3.01-3.09, 1 Y 3.07
Au: 0.1683 0.8348 0.1660  5 Au 3.00-3.09, 4 Er 3.01-3.09, 1 Y 3.07
Au: 0.6716 0.6716 0.5000  5 Au 2.96-3.13, 3 Y 2.99-3.06, 2 Er 3.04
Er: 0.5000 0.1653 0.1694  10 Au 3.01-3.09
Er: 0.5000 0.8347 0.8306  10 Au 3.01-3.09
Au: 0.8317 0.1652 0.8340  5 Au 3.00-3.09, 4 Er 3.01-3.09, 1 Y 3.07
Au: 0.3284 0.3284 0.5000  5 Au 2.96-3.13, 3 Y 2.99-3.06, 2 Er 3.04
Y: 0.0000 0.0000 0.5000  10 Au 2.99-3.07

Total moment, μB per atom: 0.000
Final energy, eV per atom: -4.719
Energy relative to the elements, kJ/mol of formula units: -697
Calculated density, Mg/m³: 13.94
DOS(E_F), states/eV/f.u.: 4.5

=====

# 11
First-principles (GGA-PBE) data for a relaxed structure of YEr2Au, as listed in Alexandria via LeMat-Bulk.

a b c (Å): 3.5513 3.5513 8.7371
angles (deg): 90.00 90.00 90.00
Last column: nearest neighbours and their distance in Å.
Fractional coordinates of all 4 atoms:
Er: 0.0000 0.0000 0.7964  4 Au 3.08
Au: 0.5000 0.5000 0.0000  8 Er 3.08
Y: 0.5000 0.5000 0.5000  4 Y 3.55, 8 Er 3.61
Er: 0.0000 0.0000 0.2036  4 Au 3.08

Total moment, μB per atom: 0.000
Final energy, eV per atom: -5.123
Energy relative to the elements, kJ/mol of formula units: -157
Calculated density, Mg/m³: 9.35
DOS(E_F), states/eV/f.u.: 5.5
Excess energy over the best structure of this formula in the dataset, eV/f.u.: 0.22

=====

# 12
First-principles (GGA-PBE) data for a relaxed structure of YEr2Au, as listed in Alexandria via LeMat-Bulk.

a b c (Å): 3.6716 3.6716 10.1284
angles (deg): 79.56 79.56 60.00
Last column: nearest neighbours and their distance in Å.
Fractional coordinates of all 4 atoms:
Er: 0.7361 0.7361 0.7916  3 Au 2.96
Au: 0.0000 0.0000 0.0000  6 Er 2.96
Y: 0.5000 0.5000 0.5000  6 Er 3.58, 6 Y 3.67
Er: 0.2639 0.2639 0.2084  3 Au 2.96

Total moment, μB per atom: 0.000
Final energy, eV per atom: -5.004
Energy relative to the elements, kJ/mol of formula units: -111
Calculated density, Mg/m³: 8.91
DOS(E_F), states/eV/f.u.: 5.1
Excess energy over the best structure of this formula in the dataset, eV/f.u.: 0.70